Entry 1:
Material: TeMo4
Method: DFT, PBE
State: optimized geometry

Results
Total energy ... -8.650 eV per atom
Fermi-level density of states ... 0.69 states/eV per atom
Formation energy from raw total energies ... 0.64 eV/atom
Calculated density ... 8.598 g/cm³

a = 6.5944 Å, b = 6.5944 Å, c = 6.5944 Å
α = 143.95°, β = 143.95°, γ = 51.90°
Last column: nearest neighbours and their distance in Å.
Positions (direct):
Te: 0.0000 0.0000 0.0000  8 Mo 3.21
Mo: 0.2500 0.7500 0.5000  4 Mo 2.57
Mo: 0.3816 0.3816 0.0000  5 Mo 2.57-2.81
Mo: 0.6184 0.6184 0.0000  5 Mo 2.57-2.81
Mo: 0.7500 0.2500 0.5000  4 Mo 2.57



Entry 2:
Material: TeMo
Method: DFT, PBE
State: optimized geometry

Results
Total energy ... -6.128 eV per atom
Fermi-level density of states ... 1.26 states/eV per atom
Formation energy from raw total energies ... 0.86 eV/atom
Calculated density ... 9.190 g/cm³

a = 3.2453 Å, b = 3.2453 Å, c = 4.3225 Å
α = 90.00°, β = 90.00°, γ = 117.47°
Last column: nearest neighbours and their distance in Å.
Positions (direct):
Te: 0.0000 0.0000 0.0000  4 Mo 2.74
Mo: 0.5000 0.5000 0.5000  4 Te 2.74



Which value of calculated density does entry 1 give? 8.598 g/cm³



calculated density of number 1 (TeMo4)? 8.598 g/cm³